Material: Sm2CoCu2
Method: DFT, PBE
State: relaxed

Structure (CIF):
```
data_Sm2CoCu2
_space_group_name_H-M_alt 'C 1 2/m 1'
_space_group_IT_number 12
_space_group_name_Hall '-C 2y'
_cell_length_a 10.4423
_cell_length_b 3.9567
_cell_length_c 11.1192
_cell_angle_alpha 90.00
_cell_angle_beta 117.74
_cell_angle_gamma 90.00
loop_
_atom_site_label
_atom_site_type_symbol
_atom_site_fract_x
_atom_site_fract_y
_atom_site_fract_z
_atom_site_occupancy
Sm1 Sm 0.0562 0.0000 0.3572 1
Sm2 Sm 0.2060 0.0000 0.1183 1
Co1 Co 0.2335 0.5000 0.3120 1
Cu1 Cu 0.0070 0.5000 0.8860 1
Cu2 Cu 0.1283 0.5000 0.5819 1
```

Results
Raw total energy in eV/atom: -5.0962


Material: SmCoCu
Method: DFT, PBE
State: relaxed

Structure (CIF):
```
data_SmCoCu
_space_group_name_H-M_alt 'P -6 m 2'
_space_group_IT_number 187
_space_group_name_Hall 'P -6 2'
_cell_length_a 4.1245
_cell_length_b 4.1245
_cell_length_c 3.7909
_cell_angle_alpha 90.00
_cell_angle_beta 90.00
_cell_angle_gamma 120.00
loop_
_atom_site_label
_atom_site_type_symbol
_atom_site_fract_x
_atom_site_fract_y
_atom_site_fract_z
_atom_site_occupancy
Sm1 Sm 0.0000 0.0000 0.0000 1
Co1 Co 0.6667 0.3333 0.5000 1
Cu1 Cu 0.3333 0.6667 0.5000 1
```

Results
Energy above the most stable polymorph in this dataset in meV/atom: 0